(1)
AcPm9Pr2: optimized geometry, PBE-GGA.

Cell: 5.2132 5.2132 15.6367 Å, 90.00 90.00 90.00°
With the nearest neighbours (Å) after each atom.
Space group P4/mmm (No. 123)
Symmetry-distinct sites (fractional):
1 Ac 0.0000 0.0000 0.0000 (multiplicity 1)  12 Pm 3.69-3.73
2 Pm 0.0000 0.5000 0.1710 (multiplicity 4)  2 Pr 3.65, 8 Pm 3.66-3.73, 2 Ac 3.73
3 Pm 0.0000 0.5000 0.5000 (multiplicity 2)  8 Pm 3.66-3.69, 4 Pr 3.67
4 Pm 0.5000 0.5000 0.0000 (multiplicity 1)  4 Ac 3.69, 8 Pm 3.73
5 Pm 0.5000 0.5000 0.3357 (multiplicity 2)  8 Pm 3.66, 4 Pr 3.69
6 Pr 0.0000 0.0000 0.3348 (multiplicity 2)  12 Pm 3.65-3.69

Properties
The formation energy from the elements comes out at 20 meV per atom. The value obtained for the spin magnetization is 0.00 μB/cell. Its density of states at the Fermi level is 19.76 states/eV/cell. The theoretical density is 7.09 g/cm³. As for the crystal system: tetragonal.

(2)
Ac4PmPr3: optimized geometry, PBE-GGA.

Cell: 11.0013 7.6422 7.6425 Å, 90.00 90.00 90.00°
With the nearest neighbours (Å) after each atom.
Space group Pmn2_1 (No. 31)
Symmetry-distinct sites (fractional):
1 Ac 0.0000 0.0009 0.0000 (multiplicity 2)  6 Pr 3.81-3.86, 2 Pm 3.81-3.83, 4 Ac 3.86
2 Ac 0.0000 0.4989 0.4976 (multiplicity 2)  2 Pm 3.81-3.83, 6 Pr 3.81-3.85, 4 Ac 3.85-3.86
3 Ac 0.2485 0.7491 0.7487 (multiplicity 4)  6 Pr 3.81-3.87, 2 Pm 3.84-3.86, 4 Ac 3.85-3.86
4 Pm 0.0000 0.4997 0.9993 (multiplicity 2)  8 Ac 3.81-3.86, 4 Pr 3.85
5 Pr 0.0000 0.0003 0.4984 (multiplicity 2)  8 Ac 3.81-3.87, 4 Pr 3.86
6 Pr 0.2498 0.2506 0.7488 (multiplicity 4)  8 Ac 3.81-3.86, 2 Pm 3.85, 2 Pr 3.86

Properties
The formation energy from the elements comes out at 29 meV per atom. The value obtained for the spin magnetization is 0.00 μB/cell. Its density of states at the Fermi level is 29.36 states/eV/cell. The theoretical density is 7.63 g/cm³. As for the crystal system: orthorhombic.

(3)
AcPm3Pr6: optimized geometry, PBE-GGA.

Cell: 12.4706 3.6795 16.5242 Å, 90.00 104.20 90.00°
With the nearest neighbours (Å) after each atom.
Space group P2_1/m (No. 11)
Symmetry-distinct sites (fractional):
1 Ac 0.1337 0.2500 0.0621 (multiplicity 2)  1 Pm 3.65, 4 Ac 3.68-3.92, 7 Pr 3.68-3.90
2 Pm 0.1119 0.2500 0.6708 (multiplicity 2)  9 Pr 3.44-3.70, 2 Pm 3.68
3 Pm 0.3841 0.2500 0.4281 (multiplicity 2)  5 Pm 3.54-3.74, 6 Pr 3.56-3.78
4 Pm 0.3990 0.2500 0.2169 (multiplicity 2)  3 Pm 3.54-3.68, 1 Ac 3.65, 7 Pr 3.68-3.84
5 Pr 0.1120 0.2500 0.4608 (multiplicity 2)  4 Pm 3.47-3.60, 8 Pr 3.68-3.83
6 Pr 0.1149 0.7500 0.8554 (multiplicity 2)  2 Pm 3.55, 5 Pr 3.68-3.75, 3 Ac 3.68-3.84
7 Pr 0.1575 0.7500 0.2741 (multiplicity 2)  6 Pr 3.68-3.99, 5 Pm 3.69-3.84, 2 Ac 3.90
8 Pr 0.3394 0.7500 0.6129 (multiplicity 2)  6 Pm 3.67-3.75, 6 Pr 3.68-3.83
9 Pr 0.3597 0.2500 0.8195 (multiplicity 2)  3 Pm 3.44-3.70, 9 Pr 3.64-3.83
10 Pr 0.3808 0.7500 0.0213 (multiplicity 2)  8 Pr 3.64-3.76, 2 Pm 3.68, 2 Ac 3.79

Properties
The formation energy from the elements comes out at 60 meV per atom. The value obtained for the energy above the most stable polymorph in this dataset is 0.0 meV per atom. The value obtained for the spin magnetization is 0.00 μB/cell. Its density of states at the Fermi level is 29.26 states/eV/cell. The theoretical density is 6.81 g/cm³. As for the crystal system: monoclinic.

> The lowest theoretical density belongs to which entry?

AcPm3Pr6